Record 1
The following is a PBEsol calculation of an optimized crystal structure of Ni2HgRu, from Alexandria.

abc: 4.268 4.268 4.268
angles: 60.00 60.00 60.00
Fractional positions:
Ni 0.000 0.000 0.000
Ni 0.250 0.250 0.250
Hg 0.750 0.750 0.750
Ru 0.500 0.500 0.500

volume	13.741	Å³ per atom
mass density	12.7	Mg/m³
E_form	482.4	meV per atom
magnetic moment	2.3	μB per formula unit
crystal system	cubic

***

Record 2
The following is a PBEsol calculation of an optimized crystal structure of NiHg2Ru, from Alexandria.

abc: 2.900 2.900 7.679
angles: 90.00 90.00 90.00
Fractional positions:
Ni 0.000 0.000 0.000
Hg 0.000 0.000 0.443
Hg 0.500 0.500 0.766
Ru 0.500 0.500 0.179

volume	16.142	Å³ per atom
mass density	14.4	Mg/m³
E_form	311.8	meV per atom
magnetic moment	0.0	μB per formula unit
crystal system	tetragonal

***

Record 3
The following is a PBEsol calculation of an optimized crystal structure of NiHgRu, from Alexandria.

abc: 4.103 4.103 4.103
angles: 60.00 60.00 60.00
Fractional positions:
Ni 0.000 0.000 0.000
Hg 0.250 0.250 0.250
Ru 0.750 0.750 0.750

volume	16.283	Å³ per atom
mass density	12.2	Mg/m³
E_form	630.6	meV per atom
magnetic moment	2.1	μB per formula unit
crystal system	cubic

***

Record 4
The following is a PBEsol calculation of an optimized crystal structure of ScNiHg, from Alexandria.

abc: 4.307 4.307 4.307
angles: 60.00 60.00 60.00
Fractional positions:
Sc 0.000 0.000 0.000
Ni 0.750 0.750 0.750
Hg 0.500 0.500 0.500

volume	18.829	Å³ per atom
mass density	8.9	Mg/m³
E_form	-262.0	meV per atom
magnetic moment	0.0	μB per formula unit
crystal system	cubic

***

Record 5
The following is a PBEsol calculation of an optimized crystal structure of ScNiHg, from Alexandria.

abc: 5.025 5.025 5.025
angles: 141.03 141.03 56.30
Fractional positions:
Sc 0.000 0.000 0.000
Ni 0.642 0.642 0.000
Hg 0.314 0.314 0.000

volume	16.600	Å³ per atom
mass density	10.1	Mg/m³
E_form	-434.7	meV per atom
magnetic moment	0.0	μB per formula unit
crystal system	tetragonal

***

Record 6
The following is a PBEsol calculation of an optimized crystal structure of ScNiHgTe2, from Alexandria.

abc: 5.464 5.464 4.590
angles: 90.00 90.00 90.00
Fractional positions:
Sc 0.000 0.000 0.000
Ni 0.000 0.000 0.500
Hg 0.500 0.500 0.500
Te 0.000 0.500 0.000
Te 0.500 0.000 0.000

volume	27.410	Å³ per atom
mass density	6.8	Mg/m³
energy relative to the elements, uncorrected	384	meV per atom
magnetic moment	0.2	μB per formula unit
crystal system	tetragonal

***

Record 7
The following is a PBEsol calculation of an optimized crystal structure of Ni2HgSe2, from Alexandria.

abc: 5.162 5.162 5.162
angles: 126.25 126.25 79.48
Fractional positions:
Ni 0.169 0.169 0.000
Ni 0.831 0.831 0.000
Hg 0.500 0.500 0.000
Se 0.250 0.750 0.500
Se 0.750 0.250 0.500

volume	17.294	Å³ per atom
mass density	9.1	Mg/m³
energy relative to the elements, uncorrected	78	meV per atom
magnetic moment	0.0	μB per formula unit
crystal system	tetragonal

***

Record 8
The following is a PBEsol calculation of an optimized crystal structure of NiHgSe, from Alexandria.

abc: 4.264 4.264 4.264
angles: 60.00 60.00 60.00
Fractional positions:
Ni 0.000 0.000 0.000
Hg 0.750 0.750 0.750
Se 0.250 0.250 0.250

volume	18.279	Å³ per atom
mass density	10.2	Mg/m³
energy relative to the elements, uncorrected	68	meV per atom
magnetic moment	0.0	μB per formula unit
crystal system	cubic

***

Record 9
The following is a PBEsol calculation of an optimized crystal structure of Ni2HgSe2, from Alexandria.

abc: 7.456 7.456 7.456
angles: 151.29 151.29 41.05
Fractional positions:
Ni 0.250 0.750 0.500
Ni 0.750 0.250 0.500
Hg 0.000 0.000 0.000
Se 0.351 0.351 0.000
Se 0.649 0.649 0.000

volume	19.091	Å³ per atom
mass density	8.3	Mg/m³
energy relative to the elements, uncorrected	-156	meV per atom
magnetic moment	0.0	μB per formula unit
crystal system	tetragonal

***

Record 10
The following is a PBEsol calculation of an optimized crystal structure of NiHgSe, from Alexandria.

abc: 3.359 3.359 5.587
angles: 90.00 90.00 120.00
Fractional positions:
Ni 0.000 0.000 0.000
Hg 0.333 0.667 0.334
Se 0.667 0.333 0.779

volume	18.200	Å³ per atom
mass density	10.3	Mg/m³
energy relative to the elements, uncorrected	-59	meV per atom
magnetic moment	0.0	μB per formula unit
crystal system	trigonal

***

Record 11
The following is a PBEsol calculation of an optimized crystal structure of NiHg2Se, from Alexandria.

abc: 2.995 2.995 9.023
angles: 90.00 90.00 90.00
Fractional positions:
Ni 0.000 0.000 0.000
Hg 0.000 0.000 0.454
Hg 0.500 0.500 0.755
Se 0.500 0.500 0.116

volume	20.228	Å³ per atom
mass density	11.1	Mg/m³
energy relative to the elements, uncorrected	15	meV per atom
magnetic moment	0.0	μB per formula unit
crystal system	tetragonal

***

Record 12
The following is a PBEsol calculation of an optimized crystal structure of Si3NiHg, from Alexandria.

abc: 4.890 4.890 4.890
angles: 90.00 90.00 90.00
Fractional positions:
Si 0.000 0.000 0.500
Si 0.000 0.500 0.000
Si 0.500 0.000 0.000
Ni 0.500 0.500 0.500
Hg 0.000 0.000 0.000

volume	23.391	Å³ per atom
mass density	4.9	Mg/m³
energy relative to the elements, uncorrected	1706	meV per atom
magnetic moment	0.0	μB per formula unit
crystal system	cubic

***

Record 13
The following is a PBEsol calculation of an optimized crystal structure of SiNi3Hg, from Alexandria.

abc: 4.608 4.608 4.608
angles: 90.00 90.00 90.00
Fractional positions:
Si 0.000 0.000 0.000
Ni 0.000 0.500 0.500
Ni 0.500 0.000 0.500
Ni 0.500 0.500 0.000
Hg 0.500 0.500 0.500

volume	19.567	Å³ per atom
mass density	6.9	Mg/m³
energy relative to the elements, uncorrected	1567	meV per atom
magnetic moment	1.1	μB per formula unit
crystal system	cubic

***

Record 14
The following is a PBEsol calculation of an optimized crystal structure of SrNi2Hg2, from Alexandria.

abc: 6.493 6.493 6.493
angles: 142.29 142.29 54.39
Fractional positions:
Sr 0.000 0.000 0.000
Ni 0.250 0.750 0.500
Ni 0.750 0.250 0.500
Hg 0.376 0.376 0.000
Hg 0.624 0.624 0.000

volume	20.340	Å³ per atom
mass density	9.9	Mg/m³
E_form	-48.7	meV per atom
magnetic moment	0.0	μB per formula unit
crystal system	tetragonal

***

Record 15
The following is a PBEsol calculation of an optimized crystal structure of Sr2TlNiHg, from Alexandria.

abc: 6.150 6.150 4.725
angles: 90.00 90.00 90.00
Fractional positions:
Sr 0.000 0.500 0.000
Sr 0.500 0.000 0.000
Tl 0.000 0.000 0.000
Ni 0.000 0.000 0.500
Hg 0.500 0.500 0.500

volume	35.744	Å³ per atom
mass density	5.9	Mg/m³
E_form	197.4	meV per atom
magnetic moment	0.0	μB per formula unit
crystal system	tetragonal

***

Record 16
The following is a PBEsol calculation of an optimized crystal structure of TaNiHg2, from Alexandria.

abc: 9.069 9.069 9.069
angles: 18.93 18.93 18.93
Fractional positions:
Ta 0.000 0.000 0.000
Ni 0.500 0.500 0.500
Hg 0.242 0.242 0.242
Hg 0.758 0.758 0.758

volume	17.151	Å³ per atom
mass density	15.5	Mg/m³
E_form	313.7	meV per atom
magnetic moment	0.0	μB per formula unit
crystal system	trigonal

***

Record 17
The following is a PBEsol calculation of an optimized crystal structure of TaNi6Hg, from Alexandria.

abc: 6.326 6.326 10.358
angles: 90.00 90.00 109.39
Fractional positions:
Ta 0.000 0.000 0.249
Ta 0.000 0.000 0.751
Ta 0.247 0.753 0.500
Ta 0.753 0.247 0.500
Ni 0.000 0.000 0.000
Ni 0.000 0.000 0.500
Ni 0.119 0.366 0.130
Ni 0.119 0.366 0.870
Ni 0.120 0.373 0.379
Ni 0.120 0.373 0.621
Ni 0.246 0.754 0.257
Ni 0.246 0.754 0.743
Ni 0.366 0.119 0.130
Ni 0.366 0.119 0.870
Ni 0.373 0.120 0.379
Ni 0.373 0.120 0.621
Ni 0.500 0.500 0.000
Ni 0.500 0.500 0.500
Ni 0.627 0.880 0.379
Ni 0.627 0.880 0.621
Ni 0.634 0.881 0.130
Ni 0.634 0.881 0.870
Ni 0.754 0.246 0.257
Ni 0.754 0.246 0.743
Ni 0.880 0.627 0.379
Ni 0.880 0.627 0.621
Ni 0.881 0.634 0.130
Ni 0.881 0.634 0.870
Hg 0.253 0.747 0.000
Hg 0.500 0.500 0.250
Hg 0.500 0.500 0.750
Hg 0.747 0.253 0.000

volume	12.220	Å³ per atom
mass density	12.5	Mg/m³
E_form	-137.3	meV per atom
magnetic moment	0.0	μB per formula unit
crystal system	orthorhombic

***

Record 18
The following is a PBEsol calculation of an optimized crystal structure of Ta2NiHg, from Alexandria.

abc: 2.851 2.851 7.945
angles: 90.00 90.00 90.00
Fractional positions:
Ta 0.000 0.000 0.215
Ta 0.000 0.000 0.785
Ni 0.500 0.500 0.000
Hg 0.500 0.500 0.500

volume	16.140	Å³ per atom
mass density	16.0	Mg/m³
E_form	48.4	meV per atom
magnetic moment	0.0	μB per formula unit
crystal system	tetragonal

***

Record 19
The following is a PBEsol calculation of an optimized crystal structure of TaNiHg2, from Alexandria.

abc: 4.877 4.877 5.125
angles: 102.85 102.85 35.20
Fractional positions:
Ta 0.000 0.000 0.000
Ni 0.500 0.500 0.500
Hg 0.239 0.239 0.736
Hg 0.761 0.761 0.264

volume	17.084	Å³ per atom
mass density	15.6	Mg/m³
E_form	352.9	meV per atom
magnetic moment	0.0	μB per formula unit
crystal system	monoclinic

***

Record 20
The following is a PBEsol calculation of an optimized crystal structure of TaNi2Hg, from Alexandria.

abc: 4.530 4.530 2.810
angles: 90.00 90.00 96.12
Fractional positions:
Ta 0.000 0.000 0.000
Ni 0.000 0.500 0.500
Ni 0.500 0.000 0.500
Hg 0.500 0.500 0.000

volume	14.337	Å³ per atom
mass density	14.4	Mg/m³
E_form	100.6	meV per atom
magnetic moment	0.0	μB per formula unit
crystal system	orthorhombic

***

Record 21
The following is a PBEsol calculation of an optimized crystal structure of Ta2NiHg, from Alexandria.

abc: 3.923 5.941 5.941
angles: 28.88 90.00 90.00
Fractional positions:
Ta 0.000 0.000 0.000
Ta 0.500 0.366 0.366
Ni 0.500 0.587 0.587
Hg 0.000 0.732 0.732

volume	16.717	Å³ per atom
mass density	15.4	Mg/m³
E_form	141.3	meV per atom
magnetic moment	0.0	μB per formula unit
crystal system	orthorhombic

***

Record 22
The following is a PBEsol calculation of an optimized crystal structure of TaNi2Hg, from Alexandria.

abc: 3.122 3.122 6.016
angles: 90.00 90.00 90.00
Fractional positions:
Ta 0.000 0.000 0.000
Ni 0.500 0.500 0.213
Ni 0.500 0.500 0.787
Hg 0.000 0.000 0.500

volume	14.661	Å³ per atom
mass density	14.1	Mg/m³
E_form	-104.8	meV per atom
magnetic moment	0.0	μB per formula unit
crystal system	tetragonal

***

Record 23
The following is a PBEsol calculation of an optimized crystal structure of TaNiHg2, from Alexandria.

abc: 5.084 5.084 2.811
angles: 90.00 90.00 109.10
Fractional positions:
Ta 0.000 0.000 0.000
Ni 0.500 0.500 0.000
Hg 0.000 0.500 0.500
Hg 0.500 0.000 0.500

volume	17.166	Å³ per atom
mass density	15.5	Mg/m³
E_form	408.8	meV per atom
magnetic moment	0.0	μB per formula unit
crystal system	orthorhombic

***

Record 24
The following is a PBEsol calculation of an optimized crystal structure of Tc2NiHg, from Alexandria.

abc: 4.994 4.994 3.679
angles: 111.10 111.10 42.65
Fractional positions:
Tc 0.250 0.250 0.239
Tc 0.750 0.750 0.761
Ni 0.500 0.500 0.000
Hg 0.000 0.000 0.500

volume	14.336	Å³ per atom
mass density	13.2	Mg/m³
E_form	399.3	meV per atom
magnetic moment	0.0	μB per formula unit
crystal system	monoclinic

***

Record 25
The following is a PBEsol calculation of an optimized crystal structure of Ni2HgTe, from Alexandria.

abc: 5.301 5.301 5.301
angles: 138.59 138.59 60.00
Fractional positions:
Ni 0.000 0.000 0.000
Ni 0.750 0.250 0.500
Hg 0.250 0.750 0.500
Te 0.500 0.500 0.000

volume	16.123	Å³ per atom
mass density	11.5	Mg/m³
energy relative to the elements, uncorrected	255	meV per atom
magnetic moment	0.0	μB per formula unit
crystal system	tetragonal

***

Record 26
The following is a PBEsol calculation of an optimized crystal structure of Ni2HgTe, from Alexandria.

abc: 4.416 4.416 3.249
angles: 90.00 90.00 90.00
Fractional positions:
Ni 0.000 0.500 0.000
Ni 0.500 0.000 0.000
Hg 0.000 0.000 0.500
Te 0.500 0.500 0.500

volume	15.841	Å³ per atom
mass density	11.7	Mg/m³
energy relative to the elements, uncorrected	181	meV per atom
magnetic moment	0.0	μB per formula unit
crystal system	tetragonal

***

Record 27
The following is a PBEsol calculation of an optimized crystal structure of TiNi3Hg, from Alexandria.

abc: 4.584 4.584 4.584
angles: 90.00 90.00 90.00
Fractional positions:
Ti 0.000 0.000 0.000
Ni 0.000 0.500 0.500
Ni 0.500 0.000 0.500
Ni 0.500 0.500 0.000
Hg 0.500 0.500 0.500

volume	19.261	Å³ per atom
mass density	7.3	Mg/m³
E_form	1407.0	meV per atom
magnetic moment	1.0	μB per formula unit
crystal system	cubic

***

Record 28
The following is a PBEsol calculation of an optimized crystal structure of Ti2NiHg, from Alexandria.

abc: 4.470 4.470 4.470
angles: 60.00 60.00 60.00
Fractional positions:
Ti 0.250 0.250 0.250
Ti 0.750 0.750 0.750
Ni 0.000 0.000 0.000
Hg 0.500 0.500 0.500

volume	15.792	Å³ per atom
mass density	9.3	Mg/m³
E_form	-70.1	meV per atom
magnetic moment	1.6	μB per formula unit
crystal system	cubic

***

Record 29
The following is a PBEsol calculation of an optimized crystal structure of TlNi2Hg, from Alexandria.

abc: 3.143 3.143 6.206
angles: 90.00 90.00 90.00
Fractional positions:
Tl 0.000 0.000 0.000
Ni 0.500 0.500 0.249
Ni 0.500 0.500 0.751
Hg 0.000 0.000 0.500

volume	15.331	Å³ per atom
mass density	14.1	Mg/m³
E_form	214.7	meV per atom
magnetic moment	0.0	μB per formula unit
crystal system	tetragonal